Entry 1:
Entry from the Alexandria database: RbSrYP2 at its PBEsol-relaxed geometry (SCAN).

Cell: 5.604 5.604 5.557 Å, 90.00 90.00 90.00°
Space group P4/mmm (No. 123)
Asymmetric unit:
Rb: 0.000 0.000 0.000 (multiplicity 1)
Sr: 0.500 0.500 0.500 (multiplicity 1)
Y: 0.500 0.500 0.000 (multiplicity 1)
P: 0.000 0.500 0.500 (multiplicity 2)

Properties
* E: -17.6095 eV per atom
* E_form: 721.4 meV/atom
* crystal system: tetragonal



Entry 2:
Entry from the Alexandria database: NiP2Se at its PBEsol-relaxed geometry (SCAN).

Cell: 2.644 4.491 9.944 Å, 90.00 90.00 90.00°
Space group Immm (No. 71)
Asymmetric unit:
Ni: 0.000 0.000 0.000 (multiplicity 2)
P: 0.000 0.500 0.305 (multiplicity 4)
Se: 0.000 0.000 0.500 (multiplicity 2)

Properties
* E: -13.8968 eV per atom
* crystal system: orthorhombic



Entry 3:
Entry from the Alexandria database: Sr3AlCd at its PBEsol-relaxed geometry (SCAN).

Cell: 6.086 6.086 6.086 Å, 90.00 90.00 90.00°
Space group Pm-3m (No. 221)
Asymmetric unit:
Sr: 0.000 0.000 0.500 (multiplicity 3)
Al: 0.500 0.500 0.500 (multiplicity 1)
Cd: 0.000 0.000 0.000 (multiplicity 1)

Properties
* E: -20.7396 eV per atom
* E_form: 258.8 meV/atom
* crystal system: cubic



Entry 4:
Entry from the Alexandria database: YMgTe2 at its PBEsol-relaxed geometry (SCAN).

Cell: 4.1197 4.1197 22.1489 Å, 90.00 90.00 120.00°
Space group R-3m (No. 166, hexagonal axes)
Asymmetric unit:
Y: 0.0000 0.0000 0.0000 (multiplicity 3)
Mg: 0.0000 0.0000 0.5000 (multiplicity 3)
Te: 0.0000 0.0000 0.2456 (multiplicity 6)

Properties
* E: -27.9712 eV per atom
* energy above the lowest structure with this stoichiometry: 38 meV per atom
* crystal system: trigonal



Entry 5:
Entry from the Alexandria database: Na2SnH2 at its PBEsol-relaxed geometry (SCAN).

Cell: 7.716 7.716 2.932 Å, 90.00 90.00 90.00°
Space group P4/mbm (No. 127)
Asymmetric unit:
Na: 0.129 0.371 0.000 (multiplicity 4)
Sn: 0.000 0.000 0.000 (multiplicity 2)
H: 0.132 0.632 0.500 (multiplicity 4)

Properties
* E: -9.9373 eV per atom
* energy above the lowest structure with this stoichiometry: 207 meV per atom
* crystal system: tetragonal



Entry 6:
Entry from the Alexandria database: ZnRuCl2 at its PBEsol-relaxed geometry (SCAN).

Cell: 3.1912 3.1912 22.9043 Å, 90.00 90.00 120.00°
Space group R-3m (No. 166, hexagonal axes)
Asymmetric unit:
Zn: 0.0000 0.0000 0.0000 (multiplicity 3)
Ru: 0.0000 0.0000 0.5000 (multiplicity 3)
Cl: 0.0000 0.0000 0.4014 (multiplicity 6)

Properties
* E: -15.9248 eV per atom
* energy above the lowest structure with this stoichiometry: 391 meV per atom
* crystal system: trigonal



Q: Which of these has the highest E?
A: Na2SnH2



Q: What is the E in the third record?
A: -20.7396 eV per atom



Copy entry 4 word for word.
Entry from the Alexandria database: YMgTe2 at its PBEsol-relaxed geometry (SCAN).

Cell: 4.1197 4.1197 22.1489 Å, 90.00 90.00 120.00°
Space group R-3m (No. 166, hexagonal axes)
Asymmetric unit:
Y: 0.0000 0.0000 0.0000 (multiplicity 3)
Mg: 0.0000 0.0000 0.5000 (multiplicity 3)
Te: 0.0000 0.0000 0.2456 (multiplicity 6)

Properties
* E: -27.9712 eV per atom
* energy above the lowest structure with this stoichiometry: 38 meV per atom
* crystal system: trigonal



Q: What is the E in the sixth record?
A: -15.9248 eV per atom